[1]
Ho2ThSi4 | PBE | optimized geometry

Structure (POSCAR):
```
Ho2ThSi4
1.0
3.831 0.000 -0.873
-0.221 4.141 -0.967
0.085 -0.033 9.212
Si Th Ho
4 1 2
direct
0.067 0.567 0.134
0.349 0.349 0.699
0.933 0.433 0.866
0.651 0.651 0.301
0.500 0.000 0.000
0.817 0.817 0.634
0.183 0.183 0.366
```

Computed properties:
Its space-group type is No. 71. As for the formation energy from raw total energies: -5.3 eV per formula unit. The magnetization comes out at 0.00 μB per cell.

[2]
Ho4ThSi4 | PBE | optimized geometry

Structure (POSCAR):
```
Ho4ThSi4
1.0
5.706 0.000 0.000
0.000 9.110 0.000
0.000 0.000 9.110
Si Ho Th
8 8 2
direct
0.381 0.646 0.786
0.381 0.354 0.214
0.619 0.214 0.646
0.881 0.286 0.854
0.119 0.146 0.286
0.119 0.854 0.714
0.619 0.786 0.354
0.881 0.714 0.146
0.120 0.840 0.398
0.620 0.898 0.660
0.380 0.660 0.102
0.380 0.340 0.898
0.120 0.160 0.602
0.880 0.602 0.840
0.620 0.102 0.340
0.880 0.398 0.160
0.500 0.500 0.500
0.000 0.000 0.000
```

Computed properties:
Its space-group type is No. 86. As for the formation energy from raw total energies: -3.7 eV per formula unit. The magnetization comes out at 0.00 μB per cell.

[3]
HoThSi | PBE | optimized geometry

Structure (POSCAR):
```
HoThSi
1.0
4.895 0.000 0.000
2.448 4.239 0.000
2.448 1.413 3.997
Ho Si Th
1 1 1
direct
0.000 0.000 0.000
0.250 0.250 0.250
0.500 0.500 0.500
```

Computed properties:
Its space-group type is No. 216. For the distance to the lowest polymorph of the same formula, the calculation gives 0 meV per atom. As for the formation energy from raw total energies: -1.0 eV per formula unit. The magnetization comes out at 0.00 μB per cell.

[4]
HoThSi | PBE | optimized geometry

Structure (POSCAR):
```
HoThSi
1.0
-4.369 -1.650 -5.757
2.614 -6.378 2.729
-4.299 3.621 5.556
Th Si Ho
4 4 4
direct
0.625 0.875 0.250
0.625 0.375 0.250
0.125 0.375 0.750
0.625 0.375 0.750
0.060 0.940 0.500
0.810 0.190 0.000
0.190 0.810 0.000
0.440 0.560 0.500
0.131 0.131 0.263
0.381 0.881 0.763
0.119 0.619 0.237
0.869 0.869 0.737
```

Computed properties:
Its space-group type is No. 70. For the distance to the lowest polymorph of the same formula, the calculation gives 47 meV per atom. As for the formation energy from raw total energies: -0.8 eV per formula unit. The magnetization comes out at 0.00 μB per cell.

[5]
HoThSi3 | PBE | optimized geometry

Structure (POSCAR):
```
HoThSi3
1.0
-1.025 -2.292 -3.118
3.853 0.535 -1.660
2.041 -10.215 6.837
Si Th Ho
6 2 2
direct
0.250 0.679 0.357
0.750 0.525 0.049
0.250 0.475 0.951
0.750 0.321 0.643
0.750 0.621 0.241
0.250 0.379 0.759
0.750 0.929 0.858
0.250 0.071 0.142
0.250 0.798 0.595
0.750 0.202 0.405
```

Computed properties:
Its space-group type is No. 63. As for the formation energy from raw total energies: -3.5 eV per formula unit. The magnetization comes out at 0.00 μB per cell.

[6]
HoTh3Si4 | PBE | optimized geometry

Structure (POSCAR):
```
HoTh3Si4
1.0
-2.043 2.878 -2.269
-4.823 -3.972 -0.695
0.142 3.394 8.057
Th Ho Si
3 1 4
direct
0.194 0.194 0.388
0.000 0.500 0.000
0.806 0.806 0.612
0.500 0.000 0.000
0.370 0.561 0.741
0.370 0.180 0.741
0.630 0.439 0.259
0.630 0.820 0.259
```

Computed properties:
Its space-group type is No. 71. As for the formation energy from raw total energies: -4.6 eV per formula unit. The magnetization comes out at 0.00 μB per cell.

[7]
HoThSi2 | PBE | optimized geometry

Structure (POSCAR):
```
HoThSi2
1.0
4.337 0.000 -0.031
0.000 3.951 0.000
-2.135 0.000 5.378
Si Th Ho
2 1 1
direct
0.157 0.500 0.853
0.007 0.000 0.552
0.724 0.000 0.986
0.443 0.500 0.426
```

Computed properties:
Its space-group type is No. 38. For the distance to the lowest polymorph of the same formula, the calculation gives 0 meV per atom. As for the formation energy from raw total energies: -2.9 eV per formula unit. The magnetization comes out at 0.00 μB per cell.

[8]
HoThSi2 | PBE | optimized geometry

Structure (POSCAR):
```
HoThSi2
1.0
4.587 0.000 0.000
2.293 3.972 0.000
2.293 1.324 5.350
Ho Th Si
1 1 2
direct
0.500 0.500 0.500
0.000 0.000 0.000
0.241 0.241 0.277
0.759 0.759 0.723
```

Computed properties:
Its space-group type is No. 166. For the distance to the lowest polymorph of the same formula, the calculation gives 198 meV per atom. As for the formation energy from raw total energies: -2.1 eV per formula unit. The magnetization comes out at 0.00 μB per cell.

[9]
Ho2ThSi | PBE | optimized geometry

Structure (POSCAR):
```
Ho2ThSi
1.0
-2.515 -1.496 1.895
-2.815 -1.323 -1.574
3.228 -10.506 -0.800
Si Th Ho
1 1 2
direct
0.500 0.500 0.500
0.000 0.000 0.000
0.895 0.895 0.315
0.105 0.105 0.685
```

Computed properties:
Its space-group type is No. 166. As for the formation energy from raw total energies: 0.1 eV per formula unit. The magnetization comes out at 0.00 μB per cell.

[10]
HoThZnSi | PBE | optimized geometry

Structure (POSCAR):
```
HoThZnSi
1.0
-1.132 -4.760 -1.321
2.554 -2.266 -3.745
3.233 -3.759 1.050
Zn Si Ho Th
1 1 1 1
direct
0.250 0.250 0.250
0.750 0.750 0.750
0.000 0.000 0.000
0.500 0.500 0.500
```

Computed properties:
Its space-group type is No. 216. As for the formation energy from raw total energies: -1.5 eV per formula unit. The magnetization comes out at 0.00 μB per cell.

[11]
Ho2Ti3Si4 | PBE | optimized geometry

Structure (POSCAR):
```
Ho2Ti3Si4
1.0
7.033 0.000 0.000
0.000 7.033 0.000
0.000 0.000 12.929
Ti Si Ho
12 16 8
direct
0.848 0.993 0.377
0.152 0.007 0.877
0.673 0.673 0.500
0.827 0.173 0.750
0.993 0.848 0.623
0.348 0.507 0.373
0.652 0.493 0.873
0.507 0.348 0.627
0.493 0.652 0.127
0.007 0.152 0.123
0.173 0.827 0.250
0.327 0.327 0.000
0.292 0.954 0.065
0.708 0.046 0.565
0.954 0.292 0.935
0.546 0.792 0.315
0.797 0.869 0.184
0.792 0.546 0.685
0.297 0.631 0.566
0.369 0.703 0.934
0.703 0.369 0.066
0.631 0.297 0.434
0.131 0.203 0.316
0.454 0.208 0.815
0.046 0.708 0.435
0.203 0.131 0.684
0.869 0.797 0.816
0.208 0.454 0.185
0.503 0.160 0.217
0.997 0.660 0.033
0.660 0.997 0.967
0.840 0.497 0.283
0.003 0.340 0.533
0.160 0.503 0.783
0.340 0.003 0.467
0.497 0.840 0.717
```

Computed properties:
Its space-group type is No. 92. As for the formation energy from raw total energies: -7.3 eV per formula unit. The magnetization comes out at 0.00 μB per cell.

[12]
HoTiSi2 | PBE | optimized geometry

Structure (POSCAR):
```
HoTiSi2
1.0
-0.177 2.366 3.411
-0.036 -1.773 3.758
5.058 0.384 2.527
Ho Ti Si
1 1 2
direct
0.500 0.500 0.500
0.000 0.000 0.000
0.271 0.271 0.187
0.729 0.729 0.813
```

Computed properties:
Its space-group type is No. 166. As for the formation energy from raw total energies: -2.1 eV per formula unit. The magnetization comes out at 0.00 μB per cell.

- magnetization of number 6 (HoTh3Si4)?
  0.00 μB per cell